First-principles (PBE) data for a geometry-optimized Tl7Hg2Pb3 structure, as listed in Alexandria via LeMat-Bulk.

Properties
E ... -2.287 eV/atom
Formation energy ... 0.07 eV/atom

Cell: 5.3130 4.1199 18.1037 Å, 96.53 90.00 90.00°
Closest atoms and distances in Å follow each position.
Element x y z (fractional)
1 Tl 0.0000 0.4221 0.8441  2 Hg 3.26, 6 Tl 3.36-3.48
2 Tl 0.0000 0.7150 0.4300  2 Hg 3.16, 2 Tl 3.25, 2 Pb 3.45
3 Tl 0.0000 0.0000 0.0000  4 Pb 3.36, 4 Tl 3.48
4 Tl 0.0000 0.5779 0.1559  2 Hg 3.26, 6 Tl 3.36-3.48
5 Tl 0.5000 0.0780 0.1560  4 Tl 3.36, 4 Pb 3.42-3.48, 2 Hg 3.67
6 Tl 0.5000 0.9220 0.8440  4 Tl 3.36, 4 Pb 3.42-3.48, 2 Hg 3.67
7 Tl 0.0000 0.2850 0.5700  2 Hg 3.16, 2 Tl 3.25, 2 Pb 3.45
8 Hg 0.0000 0.8517 0.7034  4 Tl 3.16-3.26, 4 Pb 3.37
9 Hg 0.0000 0.1483 0.2966  4 Tl 3.16-3.26, 4 Pb 3.37
10 Pb 0.5000 0.5000 0.0000  8 Tl 3.36-3.48
11 Pb 0.5000 0.6538 0.3075  4 Hg 3.37, 4 Tl 3.42-3.45
12 Pb 0.5000 0.3462 0.6925  4 Hg 3.37, 4 Tl 3.42-3.45